The following is a PBE calculation of an optimized crystal structure of Rb2ErGaTe4, from the Alexandria database.

Cell: 7.3855 7.3855 7.3855 Å, 104.52 104.52 119.91°
With the nearest neighbours (Å) after each atom.
Atoms (fractional coordinates):
Rb (0.0000, 0.5000, 0.5000)  2 Rb 3.70, 8 Te 3.75-3.94
Rb (0.5000, 0.0000, 0.5000)  2 Rb 3.70, 8 Te 3.75-3.94
Er (0.0000, 0.0000, 0.0000)  4 Te 2.95
Ga (0.5000, 0.5000, 0.0000)  4 Te 2.70
Te (0.1092, 0.1092, 0.6661)  1 Ga 2.70, 1 Er 2.95
Te (0.4431, 0.4431, 0.3339)  1 Ga 2.70, 1 Er 2.95
Te (0.5569, 0.8908, 0.0000)  1 Ga 2.70, 1 Er 2.95
Te (0.8908, 0.5569, 0.0000)  1 Ga 2.70, 1 Er 2.95

Calculated values
Raw total energy: -3.7062 eV per atom
E_form (uncorrected): -945 meV/atom
M_tot: 0.00 μB per atom

=====

The following is a PBE calculation of an optimized crystal structure of Hf5NO, from the Alexandria database.

Cell: 5.7446 5.7446 8.6537 Å, 110.44 110.44 81.97°
With the nearest neighbours (Å) after each atom.
Atoms (fractional coordinates):
Hf (0.1162, 0.6769, 0.3500)  1 O 2.08, 1 N 2.21
Hf (0.2383, 0.3355, 0.0049)  1 N 2.27, 1 O 2.45
Hf (0.2419, 0.7581, 0.7500)  1 O 2.05, 2 N 2.25
Hf (0.3231, 0.8838, 0.1500)  1 O 2.08, 1 N 2.21
Hf (0.3355, 0.2383, 0.5049)  1 N 2.27, 1 O 2.45
Hf (0.6645, 0.7617, 0.4951)  1 N 2.27, 1 O 2.45
Hf (0.6769, 0.1162, 0.8500)  1 O 2.08, 1 N 2.21
Hf (0.7581, 0.2419, 0.2500)  1 O 2.05, 2 N 2.25
Hf (0.7617, 0.6645, 0.9951)  1 N 2.27, 1 O 2.45
Hf (0.8838, 0.3231, 0.6500)  1 O 2.08, 1 N 2.21
N (0.0000, 0.5000, 0.5000)  6 Hf 2.21-2.27
N (0.5000, 0.0000, 0.0000)  6 Hf 2.21-2.27
O (0.0301, 0.9699, 0.2500)  3 Hf 2.05-2.08
O (0.9699, 0.0301, 0.7500)  3 Hf 2.05-2.08

Calculated values
Raw total energy: -9.9892 eV per atom
E_form (uncorrected): -982 meV/atom
M_tot: 0.00 μB per atom

=====

The following is a PBE calculation of an optimized crystal structure of Ac5Pr12Sm3, from the Alexandria database.

Cell: 16.9734 16.9734 16.9734 Å, 109.47 109.47 109.47°
With the nearest neighbours (Å) after each atom.
Atoms (fractional coordinates):
Ac (0.0000, 0.0000, 0.0000)  6 Pr 3.37
Ac (0.0000, 0.0000, 0.5000)  6 Pr 3.37
Ac (0.0000, 0.5000, 0.0000)  6 Pr 3.37
Ac (0.0000, 0.5000, 0.5000)  6 Pr 3.37
Ac (0.1250, 0.7500, 0.8750)  4 Pr 3.55
Ac (0.1250, 0.8750, 0.2500)  4 Pr 3.55
Ac (0.2500, 0.1250, 0.8750)  4 Pr 3.55
Ac (0.2500, 0.6250, 0.3750)  4 Pr 3.55
Ac (0.3750, 0.2500, 0.6250)  4 Pr 3.55
Ac (0.3750, 0.6250, 0.7500)  4 Pr 3.55
Ac (0.5000, 0.0000, 0.0000)  6 Pr 3.37
Ac (0.5000, 0.0000, 0.5000)  6 Pr 3.37
Ac (0.5000, 0.5000, 0.0000)  6 Pr 3.37
Ac (0.5000, 0.5000, 0.5000)  6 Pr 3.37
Ac (0.6250, 0.3750, 0.2500)  4 Pr 3.55
Ac (0.6250, 0.7500, 0.3750)  4 Pr 3.55
Ac (0.7500, 0.3750, 0.6250)  4 Pr 3.55
Ac (0.7500, 0.8750, 0.1250)  4 Pr 3.55
Ac (0.8750, 0.1250, 0.7500)  4 Pr 3.55
Ac (0.8750, 0.2500, 0.1250)  4 Pr 3.55
Pr (0.0586, 0.6427, 0.4065)  1 Sm 3.19, 1 Pr 3.30, 2 Ac 3.37-3.55
Pr (0.0586, 0.9159, 0.6521)  1 Sm 3.19, 1 Pr 3.30, 2 Ac 3.37-3.55
Pr (0.0841, 0.2361, 0.1427)  1 Sm 3.19, 1 Pr 3.30, 2 Ac 3.37-3.55
Pr (0.0841, 0.3479, 0.9414)  1 Sm 3.19, 1 Pr 3.30, 2 Ac 3.37-3.55
Pr (0.0935, 0.7361, 0.6521)  1 Sm 3.19, 1 Pr 3.30, 2 Ac 3.37-3.55
Pr (0.0935, 0.8573, 0.4414)  1 Sm 3.19, 1 Pr 3.30, 2 Ac 3.37-3.55
Pr (0.1427, 0.0841, 0.2361)  1 Sm 3.19, 1 Pr 3.30, 2 Ac 3.37-3.55
Pr (0.1427, 0.5586, 0.9065)  1 Sm 3.19, 1 Pr 3.30, 2 Ac 3.37-3.55
Pr (0.1521, 0.2361, 0.5935)  1 Sm 3.19, 1 Pr 3.30, 2 Ac 3.37-3.55
Pr (0.1521, 0.4159, 0.5586)  1 Sm 3.19, 1 Pr 3.30, 2 Ac 3.37-3.55
Pr (0.2361, 0.1427, 0.0841)  1 Sm 3.19, 1 Pr 3.30, 2 Ac 3.37-3.55
Pr (0.2361, 0.5935, 0.1521)  1 Sm 3.19, 1 Pr 3.30, 2 Ac 3.37-3.55
Pr (0.2639, 0.3479, 0.9065)  1 Sm 3.19, 1 Pr 3.30, 2 Ac 3.37-3.55
Pr (0.2639, 0.4159, 0.3573)  1 Sm 3.19, 1 Pr 3.30, 2 Ac 3.37-3.55
Pr (0.3479, 0.9065, 0.2639)  1 Sm 3.19, 1 Pr 3.30, 2 Ac 3.37-3.55
Pr (0.3479, 0.9414, 0.0841)  1 Sm 3.19, 1 Pr 3.30, 2 Ac 3.37-3.55
Pr (0.3573, 0.2639, 0.4159)  1 Sm 3.19, 1 Pr 3.30, 2 Ac 3.37-3.55
Pr (0.3573, 0.5935, 0.9414)  1 Sm 3.19, 1 Pr 3.30, 2 Ac 3.37-3.55
Pr (0.4065, 0.0586, 0.6427)  1 Sm 3.19, 1 Pr 3.30, 2 Ac 3.37-3.55
Pr (0.4065, 0.8479, 0.7639)  1 Sm 3.19, 1 Pr 3.30, 2 Ac 3.37-3.55
Pr (0.4159, 0.3573, 0.2639)  1 Sm 3.19, 1 Pr 3.30, 2 Ac 3.37-3.55
Pr (0.4159, 0.5586, 0.1521)  1 Sm 3.19, 1 Pr 3.30, 2 Ac 3.37-3.55
Pr (0.4414, 0.0935, 0.8573)  1 Sm 3.19, 1 Pr 3.30, 2 Ac 3.37-3.55
Pr (0.4414, 0.8479, 0.5841)  1 Sm 3.19, 1 Pr 3.30, 2 Ac 3.37-3.55
Pr (0.5586, 0.1521, 0.4159)  1 Sm 3.19, 1 Pr 3.30, 2 Ac 3.37-3.55
Pr (0.5586, 0.9065, 0.1427)  1 Sm 3.19, 1 Pr 3.30, 2 Ac 3.37-3.55
Pr (0.5841, 0.4414, 0.8479)  1 Sm 3.19, 1 Pr 3.30, 2 Ac 3.37-3.55
Pr (0.5841, 0.6427, 0.7361)  1 Sm 3.19, 1 Pr 3.30, 2 Ac 3.37-3.55
Pr (0.5935, 0.1521, 0.2361)  1 Sm 3.19, 1 Pr 3.30, 2 Ac 3.37-3.55
Pr (0.5935, 0.9414, 0.3573)  1 Sm 3.19, 1 Pr 3.30, 2 Ac 3.37-3.55
Pr (0.6427, 0.4065, 0.0586)  1 Sm 3.19, 1 Pr 3.30, 2 Ac 3.37-3.55
Pr (0.6427, 0.7361, 0.5841)  1 Sm 3.19, 1 Pr 3.30, 2 Ac 3.37-3.55
Pr (0.6521, 0.0586, 0.9159)  1 Sm 3.19, 1 Pr 3.30, 2 Ac 3.37-3.55
Pr (0.6521, 0.0935, 0.7361)  1 Sm 3.19, 1 Pr 3.30, 2 Ac 3.37-3.55
Pr (0.7361, 0.5841, 0.6427)  1 Sm 3.19, 1 Pr 3.30, 2 Ac 3.37-3.55
Pr (0.7361, 0.6521, 0.0935)  1 Sm 3.19, 1 Pr 3.30, 2 Ac 3.37-3.55
Pr (0.7639, 0.4065, 0.8479)  1 Sm 3.19, 1 Pr 3.30, 2 Ac 3.37-3.55
Pr (0.7639, 0.8573, 0.9159)  1 Sm 3.19, 1 Pr 3.30, 2 Ac 3.37-3.55
Pr (0.8479, 0.5841, 0.4414)  1 Sm 3.19, 1 Pr 3.30, 2 Ac 3.37-3.55
Pr (0.8479, 0.7639, 0.4065)  1 Sm 3.19, 1 Pr 3.30, 2 Ac 3.37-3.55
Pr (0.8573, 0.4414, 0.0935)  1 Sm 3.19, 1 Pr 3.30, 2 Ac 3.37-3.55
Pr (0.8573, 0.9159, 0.7639)  1 Sm 3.19, 1 Pr 3.30, 2 Ac 3.37-3.55
Pr (0.9065, 0.1427, 0.5586)  1 Sm 3.19, 1 Pr 3.30, 2 Ac 3.37-3.55
Pr (0.9065, 0.2639, 0.3479)  1 Sm 3.19, 1 Pr 3.30, 2 Ac 3.37-3.55
Pr (0.9159, 0.6521, 0.0586)  1 Sm 3.19, 1 Pr 3.30, 2 Ac 3.37-3.55
Pr (0.9159, 0.7639, 0.8573)  1 Sm 3.19, 1 Pr 3.30, 2 Ac 3.37-3.55
Pr (0.9414, 0.0841, 0.3479)  1 Sm 3.19, 1 Pr 3.30, 2 Ac 3.37-3.55
Pr (0.9414, 0.3573, 0.5935)  1 Sm 3.19, 1 Pr 3.30, 2 Ac 3.37-3.55
Sm (0.1250, 0.2500, 0.3750)  4 Pr 3.19
Sm (0.1250, 0.3750, 0.7500)  4 Pr 3.19
Sm (0.2500, 0.3750, 0.1250)  4 Pr 3.19
Sm (0.2500, 0.8750, 0.6250)  4 Pr 3.19
Sm (0.3750, 0.1250, 0.2500)  4 Pr 3.19
Sm (0.3750, 0.7500, 0.1250)  4 Pr 3.19
Sm (0.6250, 0.2500, 0.8750)  4 Pr 3.19
Sm (0.6250, 0.8750, 0.7500)  4 Pr 3.19
Sm (0.7500, 0.1250, 0.3750)  4 Pr 3.19
Sm (0.7500, 0.6250, 0.8750)  4 Pr 3.19
Sm (0.8750, 0.6250, 0.2500)  4 Pr 3.19
Sm (0.8750, 0.7500, 0.6250)  4 Pr 3.19

Calculated values
Raw total energy: -3.6968 eV per atom
M_tot: 0.00 μB per atom
DFT formation energy: 18.1 eV/f.u.

=====

The following is a PBE calculation of an optimized crystal structure of RbTe2As2, from the Alexandria database.

Cell: 9.2670 9.2670 3.8484 Å, 90.00 90.00 90.00°
With the nearest neighbours (Å) after each atom.
Atoms (fractional coordinates):
Rb (0.0000, 0.0000, 0.0000)  4 As 3.56, 8 Te 3.83, 2 Rb 3.85
Rb (0.5000, 0.5000, 0.0000)  4 As 3.56, 8 Te 3.83, 2 Rb 3.85
Te (0.2149, 0.2851, 0.5000)  2 As 2.67
Te (0.2851, 0.7851, 0.5000)  2 As 2.67
Te (0.7149, 0.2149, 0.5000)  2 As 2.67
Te (0.7851, 0.7149, 0.5000)  2 As 2.67
As (0.1444, 0.6444, 0.0000)  2 Te 2.67
As (0.3556, 0.1444, 0.0000)  2 Te 2.67
As (0.6444, 0.8556, 0.0000)  2 Te 2.67
As (0.8556, 0.3556, 0.0000)  2 Te 2.67

Calculated values
Raw total energy: -3.4638 eV per atom
E_form (uncorrected): -154 meV/atom
M_tot: 0.00 μB per atom
Energy above the lowest structure with this stoichiometry: 0.000 eV/atom

=====

Number 1: Fermi-level density of states 0.000 states/eV/atom. Number 2: Fermi-level density of states 0.558 states/eV/atom. Number 3: Fermi-level density of states 2.126 states/eV/atom. Number 4: Fermi-level density of states 0.236 states/eV/atom.